1.
# BaAgRuF6

An optimized crystal structure of BaAgRuF6 (PBE, Alexandria via LeMat-Bulk).

Cell lengths 6.009, 6.009, 5.301 Å; angles 90.00, 90.00, 120.00 degrees
Positions (direct):
Ba: 0.000 0.000 0.000
Ag: 0.333 0.667 0.500
Ru: 0.667 0.333 0.500
F: 0.386 0.054 0.715
F: 0.386 0.332 0.285
F: 0.668 0.054 0.285
F: 0.668 0.614 0.715
F: 0.946 0.332 0.715
F: 0.946 0.614 0.285

The calculation puts the formation energy without anion corrections at -2.20 eV per atom. As for the calculated density: 4.61 g/cm3. The calculation puts the total DFT energy (no corrections) at -5.01 eV per atom.

***

2.
# Sr2PaGe3Pt4

An optimized crystal structure of Sr2PaGe3Pt4 (PBE, Alexandria via LeMat-Bulk).

Cell lengths 4.417, 4.417, 11.136 Å; angles 90.00, 90.00, 90.00 degrees
Positions (direct):
Sr: 0.000 0.500 0.227
Sr: 0.500 0.000 0.773
Pa: 0.000 0.000 0.500
Ge: 0.000 0.500 0.883
Ge: 0.500 0.000 0.117
Ge: 0.500 0.500 0.500
Pt: 0.000 0.000 0.000
Pt: 0.000 0.500 0.656
Pt: 0.500 0.000 0.344
Pt: 0.500 0.500 0.000

Its calculated formation energy is -0.78 eV per atom. As for the calculated density: 10.73 g/cm3. The calculation puts the total DFT energy (no corrections) at -5.87 eV per atom.

***

3.
# Cr2HOs

An optimized crystal structure of Cr2HOs (PBE, Alexandria via LeMat-Bulk).

Cell lengths 4.906, 4.906, 4.906 Å; angles 120.00, 120.00, 90.00 degrees
Positions (direct):
Cr: 0.375 0.119 0.244
Cr: 0.869 0.625 0.744
Cr: 0.875 0.131 0.756
Cr: 0.881 0.125 0.256
H: 0.000 0.000 0.000
H: 0.750 0.250 0.500
Os: 0.250 0.750 0.500
Os: 0.500 0.500 0.000

As for the calculated density: 11.74 g/cm3. The calculation puts the total DFT energy (no corrections) at -8.01 eV per atom.

***

Question: Among the records above, which one has the highest total DFT energy (no corrections)?
Answer: BaAgRuF6

***

Question: Which formula does entry 3 have?
Answer: Cr2HOs

***

Question: Number 2 is which compound?
Answer: Sr2PaGe3Pt4

***

Question: Look up the total DFT energy (no corrections) of the second one.
Answer: -5.87 eV per atom